Entry 1:
Computed, not measured: AcBiH after structural relaxation at the GGA-PBE level of DFT.

```
data_AcBiH
_cell_length_a 4.319
_cell_length_b 4.319
_cell_length_c 10.259
_cell_angle_alpha 90.00
_cell_angle_beta 90.00
_cell_angle_gamma 120.00
_space_group_name_H-M_alt 'P 1'
_space_group_IT_number 1
loop_
_space_group_symop_operation_xyz
'x,y,z'
loop_
_atom_site_label
_atom_site_type_symbol
_atom_site_fract_x
_atom_site_fract_y
_atom_site_fract_z
Ac1 Ac 0.333 0.667 0.344
Ac2 Ac 0.667 0.333 0.656
Bi1 Bi 0.333 0.667 0.906
Bi2 Bi 0.667 0.333 0.094
H1 H 0.333 0.667 0.588
H2 H 0.667 0.333 0.412
```

Computed properties:
* relative energy among the computed polymorphs: 276 meV/atom
* volume: 166 Å³ per cell

=====

Entry 2:
Computed, not measured: TlIn5Hg8 after structural relaxation at the GGA-PBE level of DFT.

```
data_TlIn5Hg8
_cell_length_a 7.926
_cell_length_b 7.926
_cell_length_c 7.926
_cell_angle_alpha 109.60
_cell_angle_beta 109.60
_cell_angle_gamma 109.22
_space_group_name_H-M_alt 'P 1'
_space_group_IT_number 1
loop_
_space_group_symop_operation_xyz
'x,y,z'
loop_
_atom_site_label
_atom_site_type_symbol
_atom_site_fract_x
_atom_site_fract_y
_atom_site_fract_z
Tl1 Tl 0.000 0.000 0.000
In1 In 0.121 0.499 0.889
In2 In 0.250 0.750 0.500
In3 In 0.501 0.389 0.621
In4 In 0.611 0.232 0.111
In5 In 0.768 0.879 0.379
Hg1 Hg 0.024 0.288 0.407
Hg2 Hg 0.228 0.135 0.743
Hg3 Hg 0.384 0.976 0.264
Hg4 Hg 0.392 0.485 0.257
Hg5 Hg 0.515 0.772 0.907
Hg6 Hg 0.712 0.120 0.736
Hg7 Hg 0.865 0.608 0.093
Hg8 Hg 0.880 0.616 0.593
```

Computed properties:
* volume: 383 Å³ per cell
* formation enthalpy at 0 K: 0.0071 eV per atom

=====

Entry 3:
Computed, not measured: BeTe2Ir after structural relaxation at the GGA-PBE level of DFT.

```
data_BeTe2Ir
_cell_length_a 8.203
_cell_length_b 8.203
_cell_length_c 8.203
_cell_angle_alpha 158.65
_cell_angle_beta 152.49
_cell_angle_gamma 35.08
_space_group_name_H-M_alt 'P 1'
_space_group_IT_number 1
loop_
_space_group_symop_operation_xyz
'x,y,z'
loop_
_atom_site_label
_atom_site_type_symbol
_atom_site_fract_x
_atom_site_fract_y
_atom_site_fract_z
Be1 Be 0.000 0.000 0.000
Te1 Te 0.420 0.420 0.000
Te2 Te 0.687 0.187 0.500
Ir1 Ir 0.116 0.616 0.500
```

Computed properties:
* final energy: -4.508 eV per atom
* volume: 93 Å³ per cell

=====

Entry 4:
Computed, not measured: HfZrNbMo after structural relaxation at the GGA-PBE level of DFT.

```
data_HfZrNbMo
_cell_length_a 4.771
_cell_length_b 4.771
_cell_length_c 4.771
_cell_angle_alpha 60.00
_cell_angle_beta 60.00
_cell_angle_gamma 60.00
_space_group_name_H-M_alt 'P 1'
_space_group_IT_number 1
loop_
_space_group_symop_operation_xyz
'x,y,z'
loop_
_atom_site_label
_atom_site_type_symbol
_atom_site_fract_x
_atom_site_fract_y
_atom_site_fract_z
Hf1 Hf 0.000 0.000 0.000
Zr1 Zr 0.750 0.750 0.750
Nb1 Nb 0.500 0.500 0.500
Mo1 Mo 0.250 0.250 0.250
```

Computed properties:
* volume: 77 Å³ per cell
* formation enthalpy at 0 K: 0.0731 eV per atom

=====

Entry 5:
Computed, not measured: PrYHgOs after structural relaxation at the GGA-PBE level of DFT.

```
data_PrYHgOs
_cell_length_a 5.126
_cell_length_b 5.126
_cell_length_c 5.126
_cell_angle_alpha 60.00
_cell_angle_beta 60.00
_cell_angle_gamma 60.00
_space_group_name_H-M_alt 'P 1'
_space_group_IT_number 1
loop_
_space_group_symop_operation_xyz
'x,y,z'
loop_
_atom_site_label
_atom_site_type_symbol
_atom_site_fract_x
_atom_site_fract_y
_atom_site_fract_z
Pr1 Pr 0.000 0.000 0.000
Y1 Y 0.500 0.500 0.500
Hg1 Hg 0.250 0.250 0.250
Os1 Os 0.750 0.750 0.750
```

Computed properties:
* volume: 95 Å³ per cell
* formation enthalpy at 0 K: -0.1572 eV per atom

=====

Entry 6:
Computed, not measured: VRh after structural relaxation at the GGA-PBE level of DFT.

```
data_VRh
_cell_length_a 7.330
_cell_length_b 7.330
_cell_length_c 4.443
_cell_angle_alpha 90.00
_cell_angle_beta 90.00
_cell_angle_gamma 90.00
_space_group_name_H-M_alt 'P 1'
_space_group_IT_number 1
loop_
_space_group_symop_operation_xyz
'x,y,z'
loop_
_atom_site_label
_atom_site_type_symbol
_atom_site_fract_x
_atom_site_fract_y
_atom_site_fract_z
V1 V 0.063 0.301 0.000
V2 V 0.089 0.782 0.500
V3 V 0.218 0.089 0.500
V4 V 0.301 0.937 0.000
V5 V 0.699 0.063 0.000
V6 V 0.782 0.911 0.500
V7 V 0.911 0.218 0.500
V8 V 0.937 0.699 0.000
Rh1 Rh 0.230 0.423 0.500
Rh2 Rh 0.252 0.608 0.000
Rh3 Rh 0.392 0.252 0.000
Rh4 Rh 0.423 0.770 0.500
Rh5 Rh 0.577 0.230 0.500
Rh6 Rh 0.608 0.748 0.000
Rh7 Rh 0.748 0.392 0.000
Rh8 Rh 0.770 0.577 0.500
```

Computed properties:
* volume: 239 Å³ per cell
* formation enthalpy at 0 K: 0.0684 eV per atom

=====

Entry 7:
Computed, not measured: NaCaDy2Te4 after structural relaxation at the GGA-PBE level of DFT.

```
data_NaCaDy2Te4
_cell_length_a 7.610
_cell_length_b 4.392
_cell_length_c 7.829
_cell_angle_alpha 90.00
_cell_angle_beta 108.78
_cell_angle_gamma 90.00
_space_group_name_H-M_alt 'P 1'
_space_group_IT_number 1
loop_
_space_group_symop_operation_xyz
'x,y,z'
loop_
_atom_site_label
_atom_site_type_symbol
_atom_site_fract_x
_atom_site_fract_y
_atom_site_fract_z
Na1 Na 0.000 0.000 0.000
Ca1 Ca 0.500 0.500 0.000
Dy1 Dy 0.000 0.500 0.500
Dy2 Dy 0.500 0.000 0.500
Te1 Te 0.247 0.000 0.743
Te2 Te 0.254 0.500 0.260
Te3 Te 0.746 0.500 0.740
Te4 Te 0.753 0.000 0.257
```

Computed properties:
* final energy: -4.528 eV per atom
* volume: 248 Å³ per cell

=====

Entry 8:
Computed, not measured: NbCoSiTc after structural relaxation at the GGA-PBE level of DFT.

```
data_NbCoSiTc
_cell_length_a 4.278
_cell_length_b 4.278
_cell_length_c 4.278
_cell_angle_alpha 60.00
_cell_angle_beta 60.00
_cell_angle_gamma 60.00
_space_group_name_H-M_alt 'P 1'
_space_group_IT_number 1
loop_
_space_group_symop_operation_xyz
'x,y,z'
loop_
_atom_site_label
_atom_site_type_symbol
_atom_site_fract_x
_atom_site_fract_y
_atom_site_fract_z
Nb1 Nb 0.000 0.000 0.000
Co1 Co 0.250 0.250 0.250
Si1 Si 0.500 0.500 0.500
Tc1 Tc 0.750 0.750 0.750
```

Computed properties:
* final energy: -8.583 eV per atom
* volume: 55 Å³ per cell

=====

Entry 9:
Computed, not measured: LaPmCoCu after structural relaxation at the GGA-PBE level of DFT.

```
data_LaPmCoCu
_cell_length_a 4.998
_cell_length_b 4.998
_cell_length_c 4.998
_cell_angle_alpha 60.00
_cell_angle_beta 60.00
_cell_angle_gamma 60.00
_space_group_name_H-M_alt 'P 1'
_space_group_IT_number 1
loop_
_space_group_symop_operation_xyz
'x,y,z'
loop_
_atom_site_label
_atom_site_type_symbol
_atom_site_fract_x
_atom_site_fract_y
_atom_site_fract_z
La1 La 0.000 0.000 0.000
Pm1 Pm 0.500 0.500 0.500
Co1 Co 0.750 0.750 0.750
Cu1 Cu 0.250 0.250 0.250
```

Computed properties:
* relative energy among the computed polymorphs: 66 meV/atom
* volume: 88 Å³ per cell
* formation enthalpy at 0 K: -0.0548 eV per atom

=====

Entry 10:
Computed, not measured: Ba3RuO5 after structural relaxation at the GGA-PBE level of DFT.

```
data_Ba3RuO5
_cell_length_a 8.125
_cell_length_b 8.125
_cell_length_c 8.125
_cell_angle_alpha 126.61
_cell_angle_beta 126.61
_cell_angle_gamma 78.89
_space_group_name_H-M_alt 'P 1'
_space_group_IT_number 1
loop_
_space_group_symop_operation_xyz
'x,y,z'
loop_
_atom_site_label
_atom_site_type_symbol
_atom_site_fract_x
_atom_site_fract_y
_atom_site_fract_z
Ba1 Ba 0.181 0.681 0.861
Ba2 Ba 0.250 0.250 0.000
Ba3 Ba 0.319 0.181 0.500
Ba4 Ba 0.681 0.819 0.500
Ba5 Ba 0.750 0.750 0.000
Ba6 Ba 0.819 0.319 0.139
Ru1 Ru 0.250 0.750 0.500
Ru2 Ru 0.750 0.250 0.500
O1 O 0.000 0.000 0.000
O2 O 0.012 0.786 0.500
O3 O 0.214 0.714 0.226
O4 O 0.286 0.512 0.500
O5 O 0.488 0.988 0.774
O6 O 0.500 0.500 0.000
O7 O 0.512 0.012 0.226
O8 O 0.714 0.488 0.500
O9 O 0.786 0.286 0.774
O10 O 0.988 0.214 0.500
```

Computed properties:
* final energy: -6.390 eV per atom
* volume: 334 Å³ per cell

=====

Entry 11:
Computed, not measured: Sr3Ca4Tl after structural relaxation at the GGA-PBE level of DFT.

```
data_Sr3Ca4Tl
_cell_length_a 4.020
_cell_length_b 4.020
_cell_length_c 21.454
_cell_angle_alpha 90.00
_cell_angle_beta 90.00
_cell_angle_gamma 90.00
_space_group_name_H-M_alt 'P 1'
_space_group_IT_number 1
loop_
_space_group_symop_operation_xyz
'x,y,z'
loop_
_atom_site_label
_atom_site_type_symbol
_atom_site_fract_x
_atom_site_fract_y
_atom_site_fract_z
Sr1 Sr 0.000 0.000 0.000
Sr2 Sr 0.000 0.000 0.274
Sr3 Sr 0.000 0.000 0.726
Ca1 Ca 0.500 0.500 0.136
Ca2 Ca 0.500 0.500 0.414
Ca3 Ca 0.500 0.500 0.586
Ca4 Ca 0.500 0.500 0.864
Tl1 Tl 0.000 0.000 0.500
```

Computed properties:
* volume: 347 Å³ per cell
* formation enthalpy at 0 K: -0.0967 eV per atom

=====

Entry 12:
Computed, not measured: K2TeBr4F2 after structural relaxation at the GGA-PBE level of DFT.

```
data_K2TeBr4F2
_cell_length_a 7.232
_cell_length_b 7.232
_cell_length_c 7.093
_cell_angle_alpha 116.56
_cell_angle_beta 116.56
_cell_angle_gamma 65.24
_space_group_name_H-M_alt 'P 1'
_space_group_IT_number 1
loop_
_space_group_symop_operation_xyz
'x,y,z'
loop_
_atom_site_label
_atom_site_type_symbol
_atom_site_fract_x
_atom_site_fract_y
_atom_site_fract_z
K1 K 0.229 0.229 0.284
K2 K 0.771 0.771 0.716
Te1 Te 0.500 0.500 0.000
Br1 Br 0.186 0.693 0.197
Br2 Br 0.307 0.814 0.803
Br3 Br 0.693 0.186 0.197
Br4 Br 0.814 0.307 0.803
F1 F 0.314 0.314 0.714
F2 F 0.686 0.686 0.286
```

Computed properties:
* final energy: -3.228 eV per atom
* volume: 285 Å³ per cell